# 1
The following is a DFT calculation (GGA-PBE) of a relaxed NpU2VS6 crystal.

Summary:
ΔE_f (raw)	-1.15	eV per atom
SG	P1 (1)
DOS at the Fermi energy	23.34	states/eV per cell
crystal system	triclinic

Unit cell a=6.682 b=6.679 c=7.238 alpha=62.44 beta=62.33 gamma=59.75
Last column: magnetic moment on the atom in μB.
Fractional coordinates of all 10 atoms:
Np 0.822 0.820 0.534  3.83
U 0.517 0.517 0.452  2.45
U 0.010 0.016 0.961  -1.99
V 0.326 0.326 0.020  2.17
S 0.579 0.219 0.249  -0.05
S 0.218 0.953 0.249  -0.05
S 0.953 0.580 0.249  -0.05
S 0.428 0.693 0.769  -0.05
S 0.696 0.110 0.766  -0.05
S 0.113 0.427 0.767  -0.05

# 2
The following is a DFT calculation (GGA-PBE) of a relaxed YNpU2S4 crystal.

Summary:
ΔE_f (raw)	-1.52	eV per atom
SG	P2/m (10)
DOS at the Fermi energy	14.77	states/eV per cell
crystal system	monoclinic

Unit cell a=3.849 b=6.629 c=6.877 alpha=108.92 beta=90.00 gamma=90.00
Last column: magnetic moment on the atom in μB.
Fractional coordinates of all 8 atoms:
Y 0.500 0.500 0.000  -0.01
Np 0.000 0.000 0.000  -3.79
U 0.500 0.000 0.500  -2.27
U 0.000 0.500 0.500  -2.13
S 0.500 0.248 0.249  0.07
S 0.500 0.752 0.751  0.07
S 0.000 0.249 0.750  0.05
S 0.000 0.751 0.250  0.05

# 3
The following is a DFT calculation (GGA-PBE) of a relaxed ZrNp2US4 crystal.

Summary:
ΔE_f (raw)	-1.41	eV per atom
SG	P2/m (10)
DOS at the Fermi energy	16.82	states/eV per cell
crystal system	monoclinic

Unit cell a=3.859 b=6.666 c=6.554 alpha=109.62 beta=90.00 gamma=90.00
Last column: magnetic moment on the atom in μB.
Fractional coordinates of all 8 atoms:
Zr 0.000 0.000 0.000  -0.12
Np 0.500 0.000 0.500  3.65
Np 0.000 0.500 0.500  3.87
U 0.500 0.500 0.000  1.91
S 0.500 0.243 0.244  -0.06
S 0.500 0.757 0.756  -0.06
S 0.000 0.245 0.753  -0.07
S 0.000 0.755 0.247  -0.07